[1]
The following is a GGA-PBE calculation of a relaxed structure of CeThIn6, from the Alexandria database.

Unit cell a=4.727 b=4.727 c=9.461 alpha=90.00 beta=90.00 gamma=90.00
Each line ends with the local moment (μB).
Sites, in units of the cell vectors:
1 In 0.500 0.500 0.500  0.01
2 Ce 0.000 0.000 0.500  0.75
3 In 0.500 0.000 0.747  0.00
4 In 0.500 0.500 0.000  0.00
5 In 0.500 0.000 0.253  0.00
6 Th 0.000 0.000 0.000  0.00
7 In 0.000 0.500 0.253  0.00
8 In 0.000 0.500 0.747  0.00

Properties
size of the total moment: 0.88 μB per formula unit
energy relative to the lowest polymorph listed for this composition: 0 meV per atom
energy relative to the elements: -383 meV per atom
crystal system: tetragonal

=====

[2]
The following is a GGA-PBE calculation of a relaxed structure of Ce3Th2In, from the Alexandria database.

Unit cell a=5.699 b=6.053 c=10.007 alpha=90.00 beta=90.00 gamma=90.00
Each line ends with the local moment (μB).
Sites, in units of the cell vectors:
1 Ce 0.500 0.147 0.069  0.14
2 Th 0.000 0.424 0.749  0.01
3 Th 0.500 0.151 0.418  0.01
4 Ce 0.500 0.631 0.235  0.10
5 Ce 0.000 0.407 0.413  0.00
6 Ce 0.500 0.647 0.931  0.14
7 Th 0.500 0.651 0.582  0.01
8 Th 0.000 0.924 0.251  0.01
9 In 0.000 0.942 0.918  0.00
10 Ce 0.500 0.131 0.765  0.10
11 In 0.000 0.442 0.082  0.00
12 Ce 0.000 0.907 0.587  0.00

Properties
size of the total moment: 0.30 μB per formula unit
energy relative to the lowest polymorph listed for this composition: 0 meV per atom
energy relative to the elements: -34 meV per atom
crystal system: orthorhombic

=====

[3]
The following is a GGA-PBE calculation of a relaxed structure of Ce5ThIn2, from the Alexandria database.

Unit cell a=5.309 b=6.413 c=14.128 alpha=90.00 beta=90.00 gamma=114.45
Each line ends with the local moment (μB).
Sites, in units of the cell vectors:
1 Ce 0.836 0.672 0.853  0.17
2 Ce 0.164 0.328 0.147  0.17
3 Ce 0.381 0.761 0.968  0.52
4 Ce 0.619 0.239 0.032  0.52
5 Ce 0.310 0.621 0.750  0.06
6 Ce 0.381 0.761 0.532  0.52
7 Th 0.443 0.886 0.250  -0.01
8 In 0.895 0.790 0.403  -0.01
9 Ce 0.690 0.379 0.250  0.06
10 In 0.895 0.790 0.097  -0.01
11 Ce 0.164 0.328 0.353  0.17
12 Ce 0.619 0.239 0.468  0.52
13 Th 0.557 0.114 0.750  -0.01
14 Ce 0.836 0.672 0.647  0.17
15 In 0.105 0.210 0.903  -0.01
16 In 0.105 0.210 0.597  -0.01

Properties
size of the total moment: 1.65 μB per formula unit
energy relative to the lowest polymorph listed for this composition: 118 meV per atom
energy relative to the elements: -70 meV per atom
crystal system: orthorhombic

=====

[4]
The following is a GGA-PBE calculation of a relaxed structure of CeThIn2, from the Alexandria database.

Unit cell a=3.382 b=5.866 c=5.866 alpha=105.22 beta=90.00 gamma=90.00
Each line ends with the local moment (μB).
Sites, in units of the cell vectors:
1 Ce 0.500 0.500 0.000  0.84
2 Th 0.500 0.000 0.500  0.04
3 In 0.000 0.500 0.500  0.00
4 In 0.000 0.000 0.000  0.00

Properties
size of the total moment: 1.17 μB per formula unit
energy relative to the elements: -321 meV per atom
crystal system: orthorhombic

=====

[5]
The following is a GGA-PBE calculation of a relaxed structure of Ce3Th2In2, from the Alexandria database.

Unit cell a=3.938 b=6.465 c=8.197 alpha=99.12 beta=90.00 gamma=107.73
Each line ends with the local moment (μB).
Sites, in units of the cell vectors:
1 Th 0.567 0.133 0.690  0.00
2 In 0.840 0.680 0.595  0.00
3 Th 0.433 0.867 0.310  0.00
4 Ce 0.724 0.448 0.104  0.04
5 Ce 0.000 0.000 0.000  0.10
6 Ce 0.276 0.552 0.896  0.04
7 In 0.160 0.320 0.405  0.00

Properties
size of the total moment: 0.22 μB per formula unit
energy relative to the lowest polymorph listed for this composition: 41 meV per atom
energy relative to the elements: -117 meV per atom
crystal system: monoclinic

=====

[6]
The following is a GGA-PBE calculation of a relaxed structure of CeTh3In12, from the Alexandria database.

Unit cell a=4.740 b=4.740 c=18.917 alpha=90.00 beta=90.00 gamma=90.00
Each line ends with the local moment (μB).
Sites, in units of the cell vectors:
1 In 0.000 0.500 0.123  0.01
2 In 0.500 0.000 0.375  0.00
3 In 0.000 0.500 0.625  0.00
4 Th 0.000 0.000 0.249  0.01
5 Ce 0.000 0.000 0.000  0.78
6 Th 0.000 0.000 0.500  0.01
7 In 0.000 0.500 0.375  0.00
8 In 0.500 0.000 0.877  0.01
9 In 0.500 0.500 0.248  0.00
10 In 0.500 0.500 0.752  0.00
11 In 0.000 0.500 0.877  0.01
12 In 0.500 0.500 0.500  0.00
13 In 0.500 0.000 0.123  0.01
14 Th 0.000 0.000 0.751  0.01
15 In 0.500 0.000 0.625  0.00
16 In 0.500 0.500 0.000  0.01

Properties
size of the total moment: 1.02 μB per formula unit
energy relative to the elements: -365 meV per atom
crystal system: tetragonal

=====

[7]
The following is a GGA-PBE calculation of a relaxed structure of CeThIn, from the Alexandria database.

Unit cell a=4.556 b=7.375 c=10.333 alpha=90.01 beta=90.00 gamma=90.00
Each line ends with the local moment (μB).
Sites, in units of the cell vectors:
1 Ce 0.250 0.878 0.408  0.61
2 Th 0.250 0.373 0.408  0.05
3 Ce 0.750 0.622 0.908  0.61
4 In 0.750 0.125 0.249  -0.01
5 In 0.250 0.875 0.751  -0.01
6 In 0.250 0.375 0.749  -0.01
7 In 0.750 0.625 0.251  -0.01
8 Th 0.750 0.127 0.908  0.05
9 Ce 0.750 0.122 0.592  0.61
10 Th 0.750 0.627 0.592  0.05
11 Ce 0.250 0.378 0.092  0.61
12 Th 0.250 0.873 0.092  0.05

Properties
size of the total moment: 0.81 μB per formula unit
energy relative to the lowest polymorph listed for this composition: 0 meV per atom
energy relative to the elements: -158 meV per atom
crystal system: orthorhombic

=====

[8]
The following is a GGA-PBE calculation of a relaxed structure of CeTh5In6, from the Alexandria database.

Unit cell a=5.816 b=7.007 c=9.076 alpha=67.30 beta=87.38 gamma=90.01
Each line ends with the local moment (μB).
Sites, in units of the cell vectors:
1 Th 0.000 0.500 0.000  0.06
2 Th 0.672 0.167 0.666  0.01
3 Th 0.669 0.667 0.666  -0.02
4 In 0.830 0.084 0.331  0.00
5 In 0.830 0.586 0.331  0.00
6 In 0.170 0.916 0.669  0.00
7 In 0.170 0.414 0.669  0.00
8 In 0.500 0.248 0.000  0.00
9 Th 0.328 0.833 0.334  0.01
10 In 0.500 0.752 0.000  0.00
11 Th 0.331 0.333 0.334  -0.02
12 Ce 0.000 0.000 0.000  0.60

Properties
size of the total moment: 0.83 μB per formula unit
energy relative to the elements: -298 meV per atom
crystal system: monoclinic

=====

[9]
The following is a GGA-PBE calculation of a relaxed structure of Ce15ThIn4, from the Alexandria database.

Unit cell a=4.809 b=4.809 c=24.130 alpha=90.00 beta=90.00 gamma=90.00
Each line ends with the local moment (μB).
Sites, in units of the cell vectors:
1 In 0.000 0.000 0.599  -0.02
2 Ce 0.500 0.500 0.400  0.78
3 Ce 0.500 0.000 0.699  0.81
4 Ce 0.500 0.000 0.301  0.81
5 Ce 0.000 0.500 0.101  0.53
6 Ce 0.500 0.500 0.202  0.83
7 Ce 0.000 0.500 0.899  0.53
8 In 0.000 0.000 0.201  -0.01
9 In 0.000 0.000 0.401  -0.02
10 Ce 0.000 0.500 0.699  0.81
11 Th 0.000 0.000 0.000  0.00
12 Ce 0.500 0.000 0.899  0.53
13 Ce 0.500 0.500 0.798  0.83
14 Ce 0.000 0.500 0.500  0.79
15 Ce 0.500 0.500 0.000  0.10
16 Ce 0.500 0.000 0.101  0.53
17 Ce 0.500 0.500 0.600  0.78
18 Ce 0.000 0.500 0.301  0.81
19 Ce 0.500 0.000 0.500  0.79
20 In 0.000 0.000 0.799  -0.01

Properties
size of the total moment: 12.91 μB per formula unit
energy relative to the elements: -146 meV per atom
crystal system: tetragonal

=====

[10]
The following is a GGA-PBE calculation of a relaxed structure of CeTh4In, from the Alexandria database.

Unit cell a=4.758 b=6.063 c=7.241 alpha=106.90 beta=90.00 gamma=113.10
Sites, in units of the cell vectors:
1 Th 0.162 0.824 0.336
2 Th 0.166 0.831 0.840
3 In 0.500 0.500 0.000
4 Th 0.834 0.169 0.160
5 Ce 0.500 0.500 0.500
6 Th 0.838 0.176 0.664

Properties
size of the total moment: 0.01 μB per formula unit
energy relative to the lowest polymorph listed for this composition: 0 meV per atom
energy relative to the elements: -57 meV per atom
crystal system: monoclinic

=====

[11]
The following is a GGA-PBE calculation of a relaxed structure of Ce3ThIn6, from the Alexandria database.

Unit cell a=5.741 b=8.068 c=8.068 alpha=114.56 beta=103.72 gamma=103.72
Sites, in units of the cell vectors:
1 In 0.576 0.455 0.455
2 In 0.120 0.545 0.000
3 Ce 0.706 0.787 0.000
4 In 0.158 0.609 0.609
5 Ce 0.919 0.213 0.213
6 In 0.120 0.000 0.545
7 Th 0.259 0.000 0.000
8 In 0.549 0.000 0.391
9 Ce 0.706 0.000 0.787
10 In 0.549 0.391 0.000

Properties
size of the total moment: 0.00 μB per formula unit
energy relative to the elements: 42 meV per atom
crystal system: trigonal

=====

[12]
The following is a GGA-PBE calculation of a relaxed structure of Ce2ThIn3, from the Alexandria database.

Unit cell a=6.340 b=6.340 c=8.671 alpha=80.47 beta=80.47 gamma=93.10
Each line ends with the local moment (μB).
Sites, in units of the cell vectors:
1 Th 0.079 0.921 0.750  0.14
2 Ce 0.620 0.114 0.632  0.79
3 In 0.828 0.652 0.505  0.00
4 Ce 0.114 0.620 0.132  0.79
5 Ce 0.886 0.380 0.868  0.79
6 In 0.652 0.828 0.005  0.00
7 Th 0.921 0.079 0.250  0.14
8 Ce 0.380 0.886 0.368  0.79
9 In 0.574 0.426 0.250  0.00
10 In 0.172 0.348 0.495  0.00
11 In 0.426 0.574 0.750  0.00
12 In 0.348 0.172 0.995  0.00

Properties
size of the total moment: 2.13 μB per formula unit
energy relative to the lowest polymorph listed for this composition: 98 meV per atom
energy relative to the elements: -196 meV per atom
crystal system: monoclinic